No. 1
A plane-wave DFT calculation with PBE was carried out for a geometry-optimized DyInPt structure.

The value obtained for the formation energy is -0.884 eV per atom. For the energy, the calculation gives -5.34 eV/atom.

a = 7.7381 Å, b = 4.1860 Å, c = 4.1860 Å
α = 90.00°, β = 90.00°, γ = 90.00°
With the nearest neighbours (Å) after each atom.
Sites, in units of the cell vectors:
In: 0.5000 0.5000 0.5000  4 In 2.96, 4 Pt 2.97
In: 0.5000 0.0000 0.0000  4 In 2.96, 4 Pt 2.97
Dy: 0.8566 0.0000 0.5000  5 Pt 2.87-3.03
Dy: 0.1434 0.5000 0.0000  5 Pt 2.87-3.03
Pt: 0.7731 0.5000 0.0000  5 Dy 2.87-3.03, 4 In 2.97
Pt: 0.2269 0.0000 0.5000  5 Dy 2.87-3.03, 4 In 2.97



No. 2
A plane-wave DFT calculation with PBE was carried out for a geometry-optimized K3GeS4 structure.

For the energy, the calculation gives -3.83 eV/atom. The formation energy (no corrections) is -0.782 eV/atom.

a = 7.4974 Å, b = 8.3341 Å, c = 9.4220 Å
α = 90.00°, β = 90.00°, γ = 90.00°
With the nearest neighbours (Å) after each atom.
Sites, in units of the cell vectors:
S: 0.0859 0.9293 0.0000  1 Ge 2.23
S: 0.0961 0.3025 0.8016  1 Ge 2.23
S: 0.7061 0.2139 0.0000  1 Ge 2.22
S: 0.0961 0.3025 0.1984  1 Ge 2.23
S: 0.5960 0.6975 0.3016  1 Ge 2.23
S: 0.5960 0.6975 0.6984  1 Ge 2.23
S: 0.2060 0.7861 0.5000  1 Ge 2.22
S: 0.5859 0.0708 0.5000  1 Ge 2.23
Ge: 0.5003 0.8149 0.5000  4 S 2.22-2.23
Ge: 0.0004 0.1851 0.0000  4 S 2.22-2.23
K: 0.0076 0.6704 0.7654  4 S 3.07-3.16
K: 0.0158 0.1189 0.5000  4 S 3.12-3.28
K: 0.5076 0.3296 0.2654  4 S 3.07-3.16
K: 0.0076 0.6704 0.2346  4 S 3.07-3.16
K: 0.5076 0.3296 0.7346  4 S 3.07-3.16
K: 0.5157 0.8812 0.0000  4 S 3.12-3.28



No. 3
A plane-wave DFT calculation with PBE was carried out for a geometry-optimized KTe3C structure.

For the energy, the calculation gives -1.58 eV/atom. The offset from the most stable computed form comes out at 1748 meV per atom. The formation energy (no corrections) is 2.368 eV/atom.

a = 6.0100 Å, b = 6.0100 Å, c = 6.0100 Å
α = 90.00°, β = 90.00°, γ = 90.00°
With the nearest neighbours (Å) after each atom.
Sites, in units of the cell vectors:
C: 0.5000 0.5000 0.5000  12 Te 4.25
Te: 0.0000 0.5000 0.0000  2 K 3.01
Te: 0.0000 0.0000 0.5000  2 K 3.01
Te: 0.5000 0.0000 0.0000  2 K 3.01
K: 0.0000 0.0000 0.0000  6 Te 3.01



No. 4
A plane-wave DFT calculation with PBE was carried out for a geometry-optimized Sm6H2C3Cl structure.

For the energy, the calculation gives -5.94 eV/atom.

a = 3.7271 Å, b = 7.6758 Å, c = 8.4883 Å
α = 105.15°, β = 102.68°, γ = 90.00°
With the nearest neighbours (Å) after each atom.
Sites, in units of the cell vectors:
Sm: 0.0066 0.7225 0.0132  3 C 2.51-2.54, 1 H 2.78
Sm: 0.9934 0.2775 0.9868  3 C 2.51-2.54, 1 H 2.78
Sm: 0.6772 0.0682 0.3543  3 C 2.51-2.58, 2 H 2.76
Sm: 0.3228 0.9318 0.6457  3 C 2.51-2.58, 2 H 2.76
Sm: 0.6607 0.6019 0.3214  3 C 2.54-2.57, 3 H 2.78-2.84
Sm: 0.3393 0.3981 0.6786  3 C 2.54-2.57, 3 H 2.78-2.84
H: 0.8341 0.6737 0.6682  6 Sm 2.76-2.84
H: 0.1659 0.3263 0.3318  6 Sm 2.76-2.84
C: 0.5000 0.5000 0.0000  6 Sm 2.51-2.57
C: 0.8345 0.1700 0.6690  6 Sm 2.51-2.58
C: 0.1655 0.8300 0.3310  6 Sm 2.51-2.58
Cl: 0.5000 0.0000 0.0000  6 Sm 2.84-2.85



No. 5
A plane-wave DFT calculation with PBE was carried out for a geometry-optimized Ce2MnCo3As4 structure.

The value obtained for the formation energy is -0.732 eV per atom. For the energy, the calculation gives -6.83 eV/atom.

a = 4.1430 Å, b = 4.1430 Å, c = 9.3785 Å
α = 90.00°, β = 90.00°, γ = 90.00°
With the nearest neighbours (Å) after each atom.
Sites, in units of the cell vectors:
As: 0.5000 0.0000 0.6328  3 Co 2.36-2.42, 2 Mn 2.42
As: 0.0000 0.5000 0.3672  3 Co 2.36-2.42, 2 Mn 2.42
As: 0.0000 0.0000 0.0000  4 Co 2.34
As: 0.5000 0.5000 0.0000  4 Co 2.34
Co: 0.0000 0.0000 0.5000  4 As 2.42
Co: 0.0000 0.5000 0.1159  5 As 2.34-2.36
Co: 0.5000 0.0000 0.8841  5 As 2.34-2.36
Mn: 0.5000 0.5000 0.5000  4 As 2.42
Ce: 0.5000 0.0000 0.2501  7 Co 3.13-3.43, 2 Mn 3.13, 8 As 3.13
Ce: 0.0000 0.5000 0.7499  2 Mn 3.13, 7 Co 3.13-3.43, 8 As 3.13



No. 6
A plane-wave DFT calculation with PBE was carried out for a geometry-optimized Pm2TmH structure.

For the energy, the calculation gives -4.24 eV/atom. The offset from the most stable computed form comes out at 239 meV per atom.

a = 3.4098 Å, b = 3.4098 Å, c = 8.5223 Å
α = 90.00°, β = 90.00°, γ = 90.00°
With the nearest neighbours (Å) after each atom.
Sites, in units of the cell vectors:
H: 0.5000 0.5000 0.0000  8 Pm 2.92
Pm: 0.0000 0.0000 0.1924  4 H 2.92
Pm: 0.0000 0.0000 0.8076  4 H 2.92
Tm: 0.5000 0.5000 0.5000  4 Tm 3.41, 8 Pm 3.56



No. 7
A plane-wave DFT calculation with PBE was carried out for a geometry-optimized In2BrCl3 structure.

For the energy, the calculation gives -3.03 eV/atom. The formation energy (no corrections) is -0.917 eV/atom.

a = 7.0734 Å, b = 7.0734 Å, c = 8.0765 Å
α = 89.95°, β = 89.95°, γ = 85.54°
With the nearest neighbours (Å) after each atom.
Sites, in units of the cell vectors:
Br: 0.8163 0.8163 0.2502  2 In 2.78
Br: 0.1837 0.1837 0.7498  2 In 2.78
In: 0.5235 0.5235 0.7500  5 Cl 3.08-3.23
In: 0.0000 0.0000 0.5000  4 Cl 2.49-2.65, 2 Br 2.78
In: 0.4765 0.4765 0.2500  5 Cl 3.08-3.23
In: 0.0000 0.0000 0.0000  4 Cl 2.49-2.65, 2 Br 2.78
Cl: 0.2591 0.7409 0.0000  1 In 2.49
Cl: 0.8349 0.8349 0.7502  2 In 2.65
Cl: 0.2591 0.7409 0.5000  1 In 2.49
Cl: 0.1651 0.1651 0.2498  2 In 2.65
Cl: 0.7409 0.2591 0.0000  1 In 2.49
Cl: 0.7409 0.2591 0.5000  1 In 2.49



No. 8
A plane-wave DFT calculation with PBE was carried out for a geometry-optimized Nd2DyY9 structure.

The value obtained for the formation energy is 0.023 eV per atom. For the energy, the calculation gives -6.00 eV/atom.

a = 5.0741 Å, b = 5.0741 Å, c = 15.2228 Å
α = 90.00°, β = 90.00°, γ = 90.00°
With the nearest neighbours (Å) after each atom.
Sites, in units of the cell vectors:
Y: 0.5000 0.5000 0.0000  8 Y 3.57, 4 Dy 3.59
Y: 0.5000 0.0000 0.8353  2 Dy 3.57, 8 Y 3.57-3.60, 2 Nd 3.60
Y: 0.0000 0.5000 0.5000  8 Y 3.59-3.60, 4 Nd 3.59
Y: 0.5000 0.5000 0.6679  4 Nd 3.59, 8 Y 3.60
Y: 0.0000 0.5000 0.8353  2 Dy 3.57, 8 Y 3.57-3.60, 2 Nd 3.60
Y: 0.5000 0.0000 0.5000  8 Y 3.59-3.60, 4 Nd 3.59
Y: 0.5000 0.5000 0.3321  4 Nd 3.59, 8 Y 3.60
Y: 0.5000 0.0000 0.1647  2 Dy 3.57, 8 Y 3.57-3.60, 2 Nd 3.60
Y: 0.0000 0.5000 0.1647  2 Dy 3.57, 8 Y 3.57-3.60, 2 Nd 3.60
Nd: 0.0000 0.0000 0.6672  12 Y 3.59-3.60
Nd: 0.0000 0.0000 0.3328  12 Y 3.59-3.60
Dy: 0.0000 0.0000 0.0000  12 Y 3.57-3.59



No. 9
A plane-wave DFT calculation with PBE was carried out for a geometry-optimized BaRh2Au2 structure.

The value obtained for the formation energy is -0.007 eV per atom. For the energy, the calculation gives -4.64 eV/atom. The offset from the most stable computed form comes out at 64 meV per atom.

a = 4.2090 Å, b = 4.2090 Å, c = 6.9685 Å
α = 72.42°, β = 72.42°, γ = 90.00°
With the nearest neighbours (Å) after each atom.
Sites, in units of the cell vectors:
Au: 0.6105 0.6105 0.7791  4 Rh 2.74, 1 Au 2.78
Au: 0.3896 0.3896 0.2209  4 Rh 2.74, 1 Au 2.78
Rh: 0.2500 0.7500 0.5000  4 Au 2.74, 4 Rh 2.98
Rh: 0.7500 0.2500 0.5000  4 Au 2.74, 4 Rh 2.98
Ba: 0.0000 0.0000 0.0000  8 Au 3.29



No. 10
A plane-wave DFT calculation with PBE was carried out for a geometry-optimized BaWAu2 structure.

The value obtained for the formation energy is 0.666 eV per atom. For the energy, the calculation gives -4.69 eV/atom. The offset from the most stable computed form comes out at 439 meV per atom.

a = 10.2896 Å, b = 10.2896 Å, c = 10.2896 Å
α = 17.66°, β = 17.66°, γ = 17.66°
With the nearest neighbours (Å) after each atom.
Sites, in units of the cell vectors:
W: 0.7500 0.7500 0.7500  6 Au 2.80
Au: 0.0133 0.0133 0.0133  3 W 2.80
Au: 0.4867 0.4867 0.4867  3 W 2.80
Ba: 0.2500 0.2500 0.2500  6 Ba 3.16, 6 Au 3.46



No. 11
A plane-wave DFT calculation with PBE was carried out for a geometry-optimized Eu3Ag5I12 structure.

For the energy, the calculation gives -3.99 eV/atom. The formation energy (no corrections) is -0.810 eV/atom.

a = 15.8072 Å, b = 15.8072 Å, c = 15.8072 Å
α = 109.47°, β = 109.47°, γ = 109.47°
With the nearest neighbours (Å) after each atom.
Sites, in units of the cell vectors:
Ag: 0.0000 0.0000 0.0000  6 I 3.04
Ag: 0.3750 0.1250 0.7500  4 I 2.82
Ag: 0.0000 0.0000 0.5000  6 I 3.04
Ag: 0.2500 0.3750 0.6250  4 I 2.82
Ag: 0.5000 0.0000 0.5000  6 I 3.04
Ag: 0.0000 0.5000 0.0000  6 I 3.04
Ag: 0.8750 0.2500 0.6250  4 I 2.82
Ag: 0.5000 0.5000 0.5000  6 I 3.04
Ag: 0.7500 0.1250 0.8750  4 I 2.82
Ag: 0.6250 0.8750 0.2500  4 I 2.82
Ag: 0.1250 0.3750 0.2500  4 I 2.82
Ag: 0.6250 0.7500 0.8750  4 I 2.82
Ag: 0.1250 0.7500 0.3750  4 I 2.82
Ag: 0.5000 0.0000 0.0000  6 I 3.04
Ag: 0.2500 0.8750 0.1250  4 I 2.82
Ag: 0.3750 0.2500 0.1250  4 I 2.82
Ag: 0.8750 0.6250 0.7500  4 I 2.82
Ag: 0.7500 0.6250 0.3750  4 I 2.82
Ag: 0.5000 0.5000 0.0000  6 I 3.04
Ag: 0.0000 0.5000 0.5000  6 I 3.04
I: 0.4104 0.1264 0.5869  2 Ag 2.82-3.04
I: 0.5896 0.7160 0.6766  2 Ag 2.82-3.04
I: 0.3234 0.7840 0.4104  2 Ag 2.82-3.04
I: 0.7160 0.1264 0.0394  2 Ag 2.82-3.04
I: 0.3234 0.5394 0.4131  2 Ag 2.82-3.04
I: 0.5869 0.9606 0.6766  2 Ag 2.82-3.04
I: 0.1766 0.0896 0.7160  2 Ag 2.82-3.04
I: 0.9104 0.0869 0.6264  2 Ag 2.82-3.04
I: 0.4131 0.0394 0.3234  2 Ag 2.82-3.04
I: 0.8234 0.9104 0.2840  2 Ag 2.82-3.04
I: 0.0869 0.9104 0.1264  2 Ag 2.82-3.04
I: 0.9104 0.8234 0.7840  2 Ag 2.82-3.04
I: 0.2160 0.6766 0.0896  2 Ag 2.82-3.04
I: 0.7840 0.3234 0.9104  2 Ag 2.82-3.04
I: 0.3736 0.9606 0.7840  2 Ag 2.82-3.04
I: 0.6766 0.4606 0.5869  2 Ag 2.82-3.04
I: 0.7840 0.4606 0.3736  2 Ag 2.82-3.04
I: 0.8736 0.2840 0.4606  2 Ag 2.82-3.04
I: 0.4606 0.6766 0.0869  2 Ag 2.82-3.04
I: 0.2840 0.8736 0.9606  2 Ag 2.82-3.04
I: 0.9131 0.8234 0.5394  2 Ag 2.82-3.04
I: 0.2160 0.5394 0.6264  2 Ag 2.82-3.04
I: 0.5869 0.6264 0.4104  2 Ag 2.82-3.04
I: 0.1766 0.0869 0.9606  2 Ag 2.82-3.04
I: 0.5394 0.3234 0.9131  2 Ag 2.82-3.04
I: 0.1264 0.7160 0.5394  2 Ag 2.82-3.04
I: 0.9606 0.3736 0.2840  2 Ag 2.82-3.04
I: 0.6766 0.2160 0.5896  2 Ag 2.82-3.04
I: 0.1264 0.4104 0.0869  2 Ag 2.82-3.04
I: 0.0869 0.1766 0.4606  2 Ag 2.82-3.04
I: 0.3736 0.4131 0.0896  2 Ag 2.82-3.04
I: 0.7160 0.5896 0.1766  2 Ag 2.82-3.04
I: 0.2840 0.4104 0.8234  2 Ag 2.82-3.04
I: 0.9131 0.0896 0.8736  2 Ag 2.82-3.04
I: 0.4131 0.3736 0.5896  2 Ag 2.82-3.04
I: 0.5394 0.2160 0.1264  2 Ag 2.82-3.04
I: 0.0394 0.4131 0.8234  2 Ag 2.82-3.04
I: 0.6264 0.5869 0.9104  2 Ag 2.82-3.04
I: 0.6264 0.0394 0.2160  2 Ag 2.82-3.04
I: 0.8234 0.9131 0.0394  2 Ag 2.82-3.04
I: 0.0896 0.1766 0.2160  2 Ag 2.82-3.04
I: 0.9606 0.5869 0.1766  2 Ag 2.82-3.04
I: 0.0896 0.9131 0.3736  2 Ag 2.82-3.04
I: 0.4606 0.7840 0.8736  2 Ag 2.82-3.04
I: 0.5896 0.8736 0.4131  2 Ag 2.82-3.04
I: 0.0394 0.6264 0.7160  2 Ag 2.82-3.04
I: 0.8736 0.5896 0.9131  2 Ag 2.82-3.04
I: 0.4104 0.2840 0.3234  2 Ag 2.82-3.04
Eu: 0.6250 0.3750 0.7500  8 I 3.45-3.48
Eu: 0.3750 0.6250 0.2500  8 I 3.45-3.48
Eu: 0.7500 0.8750 0.6250  8 I 3.45-3.48
Eu: 0.1250 0.2500 0.8750  8 I 3.45-3.48
Eu: 0.8750 0.7500 0.1250  8 I 3.45-3.48
Eu: 0.2500 0.6250 0.8750  8 I 3.45-3.48
Eu: 0.1250 0.8750 0.7500  8 I 3.45-3.48
Eu: 0.2500 0.1250 0.3750  8 I 3.45-3.48
Eu: 0.6250 0.2500 0.3750  8 I 3.45-3.48
Eu: 0.3750 0.7500 0.6250  8 I 3.45-3.48
Eu: 0.8750 0.1250 0.2500  8 I 3.45-3.48
Eu: 0.7500 0.3750 0.1250  8 I 3.45-3.48



No. 12
A plane-wave DFT calculation with PBE was carried out for a geometry-optimized KNpTeSe3 structure.

For the energy, the calculation gives -5.41 eV/atom. The formation energy (no corrections) is -0.804 eV/atom.

a = 4.1998 Å, b = 9.1253 Å, c = 10.3491 Å
α = 107.33°, β = 90.00°, γ = 90.00°
With the nearest neighbours (Å) after each atom.
Sites, in units of the cell vectors:
Se: 0.7500 0.8230 0.0346  1 Te 2.54
Se: 0.2500 0.5338 0.8612  3 Np 2.85-2.98
Se: 0.2500 0.1770 0.9654  1 Te 2.54
Se: 0.7500 0.4662 0.1388  3 Np 2.85-2.98
Se: 0.2500 0.6952 0.4185  1 Np 2.65
Se: 0.7500 0.3048 0.5815  1 Np 2.65
K: 0.2500 0.3055 0.3323  6 Se 3.33-3.62
K: 0.7500 0.6945 0.6677  6 Se 3.33-3.62
Np: 0.7500 0.3167 0.8409  5 Se 2.65-2.95
Np: 0.2500 0.6833 0.1591  5 Se 2.65-2.95
Te: 0.2500 0.0474 0.7115  1 Se 2.54
Te: 0.7500 0.9526 0.2885  1 Se 2.54



Look up the energy of the eighth one. -6.00 eV/atom